Ba2PS | PBE | relaxed

As for the total energy: -4.45 eV per atom. For the magnetization, the calculation gives 0.250 μB per atom.

The space group is I-42d (No. 122) and the conventional cell measures 8.2032, 8.2032 and 9.2139 Å, with angles of 90.00, 90.00 and 90.00 degrees. The distinct sites, in fractional coordinates, are Ba at (0.2374, 0.2500, 0.1250), P at (0.0000, 0.0000, 0.5000) and S at (0.0000, 0.0000, 0.0000).